1.
First-principles (PBE) data for a relaxed La2GaPd6 crystal, as listed in the Alexandria database.

abc: 5.8147 5.8147 5.9672
angles: 90.00 90.00 120.00
Space group P-3m1 (No. 164)
Unique sites:
La 0.3333 0.6667 0.3011 (multiplicity 2)
Ga 0.0000 0.0000 0.5000 (multiplicity 1)
Pd 0.1714 0.3427 0.8094 (multiplicity 6)

Calculated values
total energy = -5.7163 eV/atom
spin magnetization = 0.000 μB per atom

=====

2.
First-principles (PBE) data for a relaxed PrIn2Pb crystal, as listed in the Alexandria database.

abc: 4.7318 4.7318 4.9752
angles: 90.00 90.00 90.00
Space group P4/mmm (No. 123)
Unique sites:
Pr 0.0000 0.0000 0.0000 (multiplicity 1)
In 0.0000 0.5000 0.5000 (multiplicity 2)
Pb 0.5000 0.5000 0.0000 (multiplicity 1)

Calculated values
total energy = -3.9283 eV/atom
spin magnetization = 0.000 μB per atom

=====

So what do the calculations give for ΔE_f? Going down the list: -7.4, -1.7 eV per formula unit.
So what do the calculations give for calculated volume? Going down the list: 19.414, 27.849 Å³ per atom.